# AlSiTcRh

A relaxed structure of AlSiTcRh (PBE, Alexandria).

Output
**Raw total energy**: -29.67 eV for the cell shown
**Energy relative to the elements, uncorrected**: -269 kJ/mol of formula units
**Spin magnetization**: 0.000 μB/atom
**Volume**: 53 Å³ per cell
**D(E_F)**: 0.47 states/eV per atom

a b c (Å): 3.0057 4.1205 4.3016
angles (deg): 90.00 90.00 90.00
With the nearest neighbours (Å) after each atom.
Space group Pmmm (No. 47)
Unique sites:
Al 0.0000 0.0000 0.0000 x1  4 Rh 2.55, 4 Tc 2.62
Si 0.0000 0.5000 0.5000 x1  4 Tc 2.55, 4 Rh 2.62
Tc 0.5000 0.0000 0.5000 x1  4 Si 2.55, 4 Al 2.62
Rh 0.5000 0.5000 0.0000 x1  4 Al 2.55, 4 Si 2.62